Compound: Nd4ErIn
Source: Alexandria via LeMat-Bulk
Functional: PBE-GGA
Structure: optimized geometry

The structure belongs to space group P4/mmm (No. 123); the cell edges are 3.649, 3.649 and 14.686 Å and the angles 90.00°, 90.00° and 90.00°. Symmetry generates all atoms from Nd at (0.000, 0.000, 0.147), Nd at (0.500, 0.500, 0.328), Er at (0.000, 0.000, 0.500) and In at (0.500, 0.500, 0.000).

The total energy comes out at -4.5329 eV/atom. For the volume, the calculation gives 196 Å³ per cell.


Compound: NdEr2In4
Source: Alexandria via LeMat-Bulk
Functional: PBE-GGA
Structure: optimized geometry

The structure belongs to space group I4/mmm (No. 139); the cell edges are 4.684, 4.684 and 18.587 Å and the angles 90.00°, 90.00° and 90.00°. Symmetry generates all atoms from Nd at (0.000, 0.000, 0.000), Er at (0.000, 0.000, 0.249) and In at (0.000, 0.500, 0.125).

The total energy comes out at -3.8278 eV/atom. For the volume, the calculation gives 408 Å³ per cell.


Compound: NdErIn
Source: Alexandria via LeMat-Bulk
Functional: PBE-GGA
Structure: optimized geometry

The structure belongs to space group Pnma (No. 62); the cell edges are 9.478, 6.824 and 5.449 Å and the angles 90.00°, 90.00° and 90.00°. Symmetry generates all atoms from Nd at (0.167, 0.250, 0.000), Er at (0.000, 0.000, 0.500) and In at (0.166, 0.750, 0.000).

The total energy comes out at -4.3644 eV/atom. For the volume, the calculation gives 352 Å³ per cell.


Compound: NdEr12In3
Source: Alexandria via LeMat-Bulk
Functional: PBE-GGA
Structure: optimized geometry

The structure belongs to space group P4/mmm (No. 123); the cell edges are 4.829, 4.829 and 19.676 Å and the angles 90.00°, 90.00° and 90.00°. Symmetry generates all atoms from Nd at (0.000, 0.000, 0.000), Er at (0.000, 0.500, 0.132), Er at (0.000, 0.500, 0.378), Er at (0.500, 0.500, 0.000), Er at (0.500, 0.500, 0.257), Er at (0.500, 0.500, 0.500), In at (0.000, 0.000, 0.257) and In at (0.000, 0.000, 0.500).

The total energy comes out at -4.4162 eV/atom. For the volume, the calculation gives 459 Å³ per cell.


Compound: Nd5Er4In
Source: Alexandria via LeMat-Bulk
Functional: PBE-GGA
Structure: optimized geometry

The structure belongs to space group P4/mmm (No. 123); the cell edges are 4.167, 4.167 and 18.514 Å and the angles 90.00°, 90.00° and 90.00°. Symmetry generates all atoms from Nd at (0.000, 0.000, 0.000), Nd at (0.000, 0.000, 0.205), Nd at (0.000, 0.000, 0.409), Er at (0.500, 0.500, 0.102), Er at (0.500, 0.500, 0.306) and In at (0.500, 0.500, 0.500).

The total energy comes out at -4.4958 eV/atom. For the volume, the calculation gives 321 Å³ per cell.


Compound: NdEr2In9
Source: Alexandria via LeMat-Bulk
Functional: PBE-GGA
Structure: optimized geometry

The structure belongs to space group P4/mmm (No. 123); the cell edges are 4.659, 4.659 and 13.939 Å and the angles 90.00°, 90.00° and 90.00°. Symmetry generates all atoms from Nd at (0.000, 0.000, 0.000), Er at (0.000, 0.000, 0.335), In at (0.000, 0.500, 0.171), In at (0.000, 0.500, 0.500), In at (0.500, 0.500, 0.000) and In at (0.500, 0.500, 0.334).

The total energy comes out at -3.6240 eV/atom. For the volume, the calculation gives 303 Å³ per cell.


Compound: Nd8Er6In
Source: Alexandria via LeMat-Bulk
Functional: PBE-GGA
Structure: optimized geometry

The structure belongs to space group P-3 (No. 147); the cell edges are 9.3201, 9.3201 and 6.5615 Å and the angles 90.00°, 90.00° and 120.00°. Symmetry generates all atoms from Nd at (0.0421, 0.7675, 0.1778), Nd at (0.3333, 0.6667, 0.1427), Er at (0.0987, 0.6521, 0.6621) and In at (0.0000, 0.0000, 0.5000).

The total energy comes out at -4.4710 eV/atom. For the volume, the calculation gives 494 Å³ per cell.


Compound: Nd6Er5In
Source: Alexandria via LeMat-Bulk
Functional: PBE-GGA
Structure: optimized geometry

The structure belongs to space group Immm (No. 71); the cell edges are 5.055, 9.946 and 15.273 Å and the angles 90.00°, 90.00° and 90.00°. Symmetry generates all atoms from Nd at (0.000, 0.246, 0.000), Nd at (0.000, 0.254, 0.334), Er at (0.000, 0.000, 0.167), Er at (0.000, 0.000, 0.500), Er at (0.000, 0.500, 0.165) and In at (0.000, 0.500, 0.500).

The total energy comes out at -4.5698 eV/atom. For the volume, the calculation gives 768 Å³ per cell.


Compound: NdEr3In4
Source: Alexandria via LeMat-Bulk
Functional: PBE-GGA
Structure: optimized geometry

The structure belongs to space group Pmma (No. 51); the cell edges are 10.763, 7.221 and 5.504 Å and the angles 90.00°, 90.00° and 90.00°. Symmetry generates all atoms from Nd at (0.000, 0.000, 0.000), Er at (0.000, 0.500, 0.000), Er at (0.250, 0.000, 0.430), Er at (0.250, 0.500, 0.417), In at (0.000, 0.259, 0.500) and In at (0.250, 0.259, 0.913).

The total energy comes out at -4.1271 eV/atom. For the volume, the calculation gives 428 Å³ per cell.


Compound: NdEr9In2
Source: Alexandria via LeMat-Bulk
Functional: PBE-GGA
Structure: optimized geometry

The structure belongs to space group P4/mmm (No. 123); the cell edges are 4.842, 4.842 and 14.876 Å and the angles 90.00°, 90.00° and 90.00°. Symmetry generates all atoms from Nd at (0.000, 0.000, 0.000), Er at (0.000, 0.500, 0.175), Er at (0.000, 0.500, 0.500), Er at (0.500, 0.500, 0.000), Er at (0.500, 0.500, 0.339) and In at (0.000, 0.000, 0.339).

The total energy comes out at -4.4330 eV/atom. For the volume, the calculation gives 349 Å³ per cell.